# 1
Entry from Alexandria: a relaxed structure of CeSm3Pb4 (PBE).

POSCAR file:
```
CeSm3Pb4
1.0
1.466 5.685 0.296
0.767 0.106 -5.828
-7.746 -1.143 1.942
Pb Sm Ce
4 3 1
Direct
0.873 0.874 0.747
0.373 0.374 0.747
0.127 0.126 0.253
0.627 0.626 0.253
0.000 0.500 0.000
0.250 0.750 0.500
0.750 0.250 0.500
0.500 0.000 0.000
```

- V (Å³/f.u.) = 238.7
- symmetry = C2/m (12)
- energy relative to the elements (eV per atom) = -0.447

***

# 2
Entry from Alexandria: a relaxed structure of CeSm4Pb4 (PBE).

POSCAR file:
```
CeSm4Pb4
1.0
6.357 0.000 0.000
0.000 10.051 0.000
0.000 0.000 10.051
Sm Ce Pb
8 2 8
Direct
0.000 0.201 0.599
0.000 0.799 0.401
0.000 0.401 0.201
0.500 0.099 0.299
0.500 0.299 0.901
0.000 0.599 0.799
0.500 0.901 0.701
0.500 0.701 0.099
0.500 0.500 0.500
0.000 0.000 0.000
0.499 0.600 0.798
0.499 0.400 0.202
0.999 0.702 0.100
0.001 0.100 0.298
0.501 0.202 0.600
0.999 0.298 0.900
0.001 0.900 0.702
0.501 0.798 0.400
```

- V (Å³/f.u.) = 321.1
- symmetry = I4/m (87)
- energy relative to the elements (eV per atom) = -0.262

***

# 3
Entry from Alexandria: a relaxed structure of CeSmPb3 (PBE).

POSCAR file:
```
CeSmPb3
1.0
9.802 0.000 0.000
0.000 7.422 0.000
0.000 0.000 8.927
Sm Ce Pb
4 4 12
Direct
0.000 0.500 0.000
0.500 0.000 0.500
0.000 0.500 0.500
0.500 0.000 0.000
0.599 0.452 0.250
0.901 0.952 0.750
0.099 0.048 0.250
0.401 0.548 0.750
0.331 0.721 0.250
0.669 0.279 0.750
0.199 0.837 0.934
0.199 0.837 0.566
0.301 0.337 0.434
0.301 0.337 0.066
0.801 0.163 0.434
0.801 0.163 0.066
0.831 0.779 0.250
0.169 0.221 0.750
0.699 0.663 0.934
0.699 0.663 0.566
```

- V (Å³/f.u.) = 162.3
- symmetry = Pnma (62)
- energy relative to the elements (eV per atom) = -0.237